5
Lattice="-3.5865 3.5865 4.1675 3.5865 -3.5865 4.1675 3.5865 3.5865 -4.1675" Properties=species:S:1:pos:R:3 comment="PBE Rb2Cd2Ag, optimized geometry" energy_ev_per_cell=-6.2 e_form_kj_per_mol_atoms=8.8 pbc="T T T"
Rb 3.5865 0.0000 2.0837
Rb 0.0000 3.5865 2.0837
Cd 0.0000 0.0000 1.4116
Cd 0.0000 0.0000 6.9234
Ag 0.0000 0.0000 4.1675